(1)
Entry from Alexandria via LeMat-Bulk: a geometry-optimized PAu structure (GGA-PBEsol).

abc: 5.124 5.124 5.124
angles: 90.00 90.00 90.00
Sites, in units of the cell vectors:
P (0.000, 0.000, 0.000)
P (0.000, 0.500, 0.500)
P (0.500, 0.000, 0.500)
P (0.500, 0.500, 0.000)
Au (0.000, 0.000, 0.500)
Au (0.000, 0.500, 0.000)
Au (0.500, 0.000, 0.000)
Au (0.500, 0.500, 0.500)

Computed properties:
As for the relative energy among the computed polymorphs: 251.4 meV per atom. The space group is Fm-3m (225). The value obtained for the density of states at the Fermi level is 0.51 states/eV per atom. Its crystal system is cubic. The total energy comes out at -37.38 eV for the cell shown. Its calculated volume is 135 Å³/cell. The calculation puts the formation energy at 0.185 eV per atom.


(2)
Entry from Alexandria via LeMat-Bulk: a geometry-optimized PAu structure (GGA-PBEsol).

abc: 5.488 5.488 5.488
angles: 90.00 90.00 90.00
Sites, in units of the cell vectors:
P (0.000, 0.000, 0.000)
P (0.000, 0.500, 0.500)
P (0.500, 0.000, 0.500)
P (0.500, 0.500, 0.000)
Au (0.250, 0.250, 0.750)
Au (0.250, 0.750, 0.250)
Au (0.750, 0.250, 0.250)
Au (0.750, 0.750, 0.750)

Computed properties:
As for the relative energy among the computed polymorphs: 331.2 meV per atom. The space group is F-43m (216). The value obtained for the density of states at the Fermi level is 0.59 states/eV per atom. Its crystal system is cubic. The total energy comes out at -36.74 eV for the cell shown. Its calculated volume is 165 Å³/cell. The calculation puts the formation energy at 0.265 eV per atom.


(3)
Entry from Alexandria via LeMat-Bulk: a geometry-optimized PAu structure (GGA-PBEsol).

abc: 3.932 3.932 6.216
angles: 90.00 90.00 120.00
Sites, in units of the cell vectors:
P (0.333, 0.667, 0.000)
P (0.667, 0.333, 0.500)
Au (0.333, 0.667, 0.384)
Au (0.667, 0.333, 0.884)

Computed properties:
As for the relative energy among the computed polymorphs: 360.7 meV per atom. The space group is P6_3mc (186). The value obtained for the density of states at the Fermi level is 0.74 states/eV per atom. Its crystal system is hexagonal. The total energy comes out at -18.25 eV for the cell shown. Its calculated volume is 83 Å³/cell. The calculation puts the formation energy at 0.294 eV per atom.


(4)
Entry from Alexandria via LeMat-Bulk: a geometry-optimized P2PbAu structure (GGA-PBEsol).

abc: 4.545 3.814 5.000
angles: 90.00 103.77 90.00
Sites, in units of the cell vectors:
P (0.224, 0.000, 0.143)
P (0.776, 0.000, 0.857)
Pb (0.000, 0.500, 0.500)
Au (0.500, 0.500, 0.000)

Computed properties:
The space group is P2/m (10). The value obtained for the density of states at the Fermi level is 0.42 states/eV per atom. Its crystal system is monoclinic. The total energy comes out at -19.47 eV for the cell shown. Its calculated volume is 84 Å³/cell. The calculation puts the formation energy at 0.010 eV per atom.


(5)
Entry from Alexandria via LeMat-Bulk: a geometry-optimized PPbAu structure (GGA-PBEsol).

abc: 4.192 4.192 4.313
angles: 90.00 90.00 120.00
Sites, in units of the cell vectors:
P (0.000, 0.000, 0.000)
Pb (0.667, 0.333, 0.500)
Au (0.333, 0.667, 0.996)

Computed properties:
As for the relative energy among the computed polymorphs: 0.0 meV per atom. The space group is P3m1 (156). The value obtained for the density of states at the Fermi level is 0.23 states/eV per atom. Its crystal system is trigonal. The total energy comes out at -13.83 eV for the cell shown. Its calculated volume is 66 Å³/cell. The calculation puts the formation energy at -0.039 eV per atom.


(6)
Entry from Alexandria via LeMat-Bulk: a geometry-optimized P2PbAu structure (GGA-PBEsol).

abc: 3.823 3.823 5.377
angles: 90.00 90.00 90.00
Sites, in units of the cell vectors:
P (0.000, 0.000, 0.000)
P (0.500, 0.500, 0.500)
Pb (0.000, 0.000, 0.500)
Au (0.500, 0.500, 0.000)

Computed properties:
The space group is P4/mmm (123). The value obtained for the density of states at the Fermi level is 0.46 states/eV per atom. Its crystal system is tetragonal. The total energy comes out at -18.39 eV for the cell shown. Its calculated volume is 79 Å³/cell. The calculation puts the formation energy at 0.279 eV per atom.